DFT (PBE-GGA) results for a relaxed IrOsPt crystal.

Lattice parameters (Å, degrees): 4.7717 4.7717 4.7717 146.43 131.90 59.93
Sites, in units of the cell vectors:
Ir 0.0000 0.0000 0.0000
Os 0.6542 0.6542 0.0000
Pt 0.3250 0.3250 0.0000

Results
DOS(E_F) (states/eV per cell): 2.397
Total magnetization (μB/f.u.): 0.00
Energy of formation from the pure elements (eV per atom): 0.068
Total DFT energy (no corrections) (Ry per atom): -0.6352
E above lowest polymorph (eV per formula unit): 0.13

DFT (PBE-GGA) results for a relaxed YThGaPd crystal.

Lattice parameters (Å, degrees): 5.1307 5.1307 5.1307 60.00 60.00 60.00
Sites, in units of the cell vectors:
Y 0.0000 0.0000 0.0000
Th 0.5000 0.5000 0.5000
Ga 0.2500 0.2500 0.2500
Pd 0.7500 0.7500 0.7500

Results
DOS(E_F) (states/eV per cell): 3.784
Total magnetization (μB/f.u.): 0.00
Energy of formation from the pure elements (eV per atom): -0.572
Total DFT energy (no corrections) (Ry per atom): -0.4482